Entry 1:
# Pm2TmSc3Se6

A geometry-optimized Pm2TmSc3Se6 structure (PBE, Alexandria).

## Properties
Energy relative to the elements, uncorrected: -1.6752 eV per atom
Magnetization: 0.0 μB/cell
Space group: C2/m, No. 12
Calculated total energy: -74.0 eV for the cell shown
Crystal system: monoclinic

Unit cell a=3.982 b=8.076 c=8.972 alpha=103.31 beta=102.82 gamma=90.00
Fractional coordinates of all 12 atoms:
1 Sc 0.829 0.167 0.658
2 Se 0.341 0.402 0.682
3 Tm 0.500 0.000 0.000
4 Se 0.994 0.252 0.988
5 Se 0.659 0.598 0.318
6 Pm 0.831 0.663 0.661
7 Se 0.667 0.066 0.334
8 Sc 0.500 0.500 0.000
9 Se 0.006 0.748 0.012
10 Sc 0.171 0.833 0.342
11 Se 0.333 0.934 0.666
12 Pm 0.169 0.337 0.339

---

Entry 2:
# LiZnHgGe

A geometry-optimized LiZnHgGe structure (PBE, Alexandria).

## Properties
Magnetization: 0.0 μB/cell
Space group: F-43m, No. 216
Energy of formation: -43 meV/atom
Calculated total energy: -8.3 eV for the cell shown
Crystal system: cubic

Unit cell a=4.673 b=4.673 c=4.673 alpha=60.00 beta=60.00 gamma=60.00
Fractional coordinates of all 4 atoms:
1 Li 0.750 0.750 0.750
2 Hg 0.500 0.500 0.500
3 Ge 0.000 0.000 0.000
4 Zn 0.250 0.250 0.250

---

Entry 3:
# AlVMoIr

A geometry-optimized AlVMoIr structure (PBE, Alexandria).

## Properties
Magnetization: 0.0 μB/cell
Space group: F-43m, No. 216
Energy of formation: -441 meV/atom
Calculated total energy: -34.3 eV for the cell shown
Crystal system: cubic

Unit cell a=4.324 b=4.324 c=4.324 alpha=60.00 beta=60.00 gamma=60.00
Fractional coordinates of all 4 atoms:
1 Al 0.750 0.750 0.750
2 Mo 0.000 0.000 0.000
3 Ir 0.500 0.500 0.500
4 V 0.250 0.250 0.250

---

Entry 4:
# Tb3Dy5Er4

A geometry-optimized Tb3Dy5Er4 structure (PBE, Alexandria).

## Properties
Magnetization: 0.0 μB/cell
Space group: P-1, No. 2
Energy of formation: 18 meV/atom
Calculated total energy: -54.9 eV for the cell shown
Crystal system: triclinic

Unit cell a=7.056 b=11.148 c=12.708 alpha=151.28 beta=56.32 gamma=129.30
Fractional coordinates of all 12 atoms:
1 Er 0.166 0.333 0.166
2 Dy 0.251 0.500 0.000
3 Dy 0.500 0.000 0.500
4 Tb 0.000 0.000 0.500
5 Tb 0.584 0.168 0.334
6 Er 0.834 0.667 0.834
7 Er 0.083 0.167 0.333
8 Tb 0.416 0.832 0.666
9 Dy 0.749 0.500 0.000
10 Dy 0.334 0.667 0.833
11 Dy 0.666 0.333 0.167
12 Er 0.917 0.833 0.667

---

Entry 5:
# SrHg3Bi4

A geometry-optimized SrHg3Bi4 structure (PBE, Alexandria).

## Properties
Magnetization: 0.0 μB/cell
Space group: C2/m, No. 12
Energy of formation: -166 meV/atom
Calculated total energy: -19.4 eV for the cell shown
Crystal system: monoclinic

Unit cell a=5.553 b=5.893 c=8.676 alpha=106.79 beta=108.67 gamma=90.00
Fractional coordinates of all 8 atoms:
1 Bi 0.261 0.779 0.522
2 Bi 0.347 0.360 0.694
3 Bi 0.653 0.640 0.306
4 Sr 0.500 0.000 0.000
5 Hg 0.119 0.160 0.238
6 Bi 0.739 0.221 0.478
7 Hg 0.881 0.840 0.762
8 Hg 0.000 0.500 0.000

---

Entry 6:
# SbTe2Pt

A geometry-optimized SbTe2Pt structure (PBE, Alexandria).

## Properties
Energy relative to the elements, uncorrected: 0.0470 eV per atom
Magnetization: 0.0 μB/cell
Space group: I-42d, No. 122
Calculated total energy: -32.5 eV for the cell shown
Crystal system: tetragonal

Unit cell a=6.669 b=6.669 c=7.736 alpha=64.47 beta=64.47 gamma=90.00
Fractional coordinates of all 8 atoms:
1 Sb 0.500 0.500 0.000
2 Te 0.375 0.321 0.750
3 Te 0.071 0.625 0.250
4 Te 0.679 0.125 0.250
5 Pt 0.000 0.000 0.000
6 Te 0.875 0.929 0.750
7 Pt 0.750 0.250 0.500
8 Sb 0.250 0.750 0.500

---

Entry 7:
# LaYBe2

A geometry-optimized LaYBe2 structure (PBE, Alexandria).

## Properties
Magnetization: 0.0 μB/cell
Space group: P4/mmm, No. 123
Energy of formation: 181 meV/atom
Calculated total energy: -18.1 eV for the cell shown
Crystal system: tetragonal

Unit cell a=4.980 b=4.980 c=3.473 alpha=90.00 beta=90.00 gamma=90.00
Fractional coordinates of all 4 atoms:
1 Be 0.000 0.000 0.000
2 Y 0.000 0.500 0.500
3 Be 0.500 0.500 0.000
4 La 0.500 0.000 0.500

---

Entry 8:
# TeSeS2

A geometry-optimized TeSeS2 structure (PBE, Alexandria).

## Properties
Energy relative to the elements, uncorrected: 0.0864 eV per atom
Magnetization: 0.0 μB/cell
Space group: P-1, No. 2
Calculated total energy: -29.1 eV for the cell shown
Crystal system: triclinic

Unit cell a=8.899 b=5.792 c=6.542 alpha=91.01 beta=73.23 gamma=124.58
Fractional coordinates of all 8 atoms:
1 S 0.243 0.827 0.025
2 S 0.757 0.173 0.975
3 Te 0.226 0.682 0.659
4 Te 0.774 0.318 0.341
5 Se 0.385 0.189 0.482
6 S 0.130 0.462 0.226
7 Se 0.615 0.811 0.518
8 S 0.870 0.538 0.774

---

Entry 9:
# In4Cl3

A geometry-optimized In4Cl3 structure (PBE, Alexandria).

## Properties
Energy relative to the elements, uncorrected: -0.3011 eV per atom
Magnetization: 0.0 μB/cell
Space group: P6/mmm, No. 191
Calculated total energy: -18.6 eV for the cell shown
Crystal system: hexagonal

Unit cell a=6.600 b=6.600 c=5.476 alpha=90.00 beta=90.00 gamma=120.00
Fractional coordinates of all 7 atoms:
1 In 0.667 0.333 0.500
2 Cl 0.500 0.000 0.000
3 Cl 0.500 0.500 0.000
4 In 0.333 0.667 0.500
5 In 0.000 0.000 0.243
6 Cl 0.000 0.500 0.000
7 In 0.000 0.000 0.757

---

Entry 10:
# ZrSnSe2Br

A geometry-optimized ZrSnSe2Br structure (PBE, Alexandria).

## Properties
Energy relative to the elements, uncorrected: 0.2905 eV per atom
Magnetization: 1.8 μB/cell
Space group: P4/mmm, No. 123
Calculated total energy: -19.7 eV for the cell shown
Crystal system: tetragonal

Unit cell a=5.320 b=5.320 c=5.282 alpha=90.00 beta=90.00 gamma=90.00
Last column: magnetic moment on the atom in μB.
Fractional coordinates of all 5 atoms:
1 Se 0.000 0.500 0.000  -0.08
2 Zr 0.500 0.500 0.500  1.40
3 Sn 0.000 0.000 0.000  -0.02
4 Br 0.000 0.000 0.500  -0.01
5 Se 0.500 0.000 0.000  -0.08

---

Entry 11:
# K3LaAu

A geometry-optimized K3LaAu structure (PBE, Alexandria).

## Properties
Magnetization: 3.1 μB/cell
Space group: Pm-3m, No. 221
Energy of formation: 980 meV/atom
Calculated total energy: -6.6 eV for the cell shown
Crystal system: cubic

Unit cell a=7.135 b=7.135 c=7.135 alpha=90.00 beta=90.00 gamma=90.00
Last column: magnetic moment on the atom in μB.
Fractional coordinates of all 5 atoms:
1 K 0.500 0.000 0.000  0.03
2 K 0.000 0.000 0.500  0.05
3 K 0.000 0.500 0.000  0.04
4 La 0.000 0.000 0.000  1.05
5 Au 0.500 0.500 0.500  -0.01

---

Entry 12:
# YRu3C

A geometry-optimized YRu3C structure (PBE, Alexandria).

## Properties
Magnetization: 0.0 μB/cell
Space group: P2_1/c, No. 14
Energy of formation: 92 meV/atom
Calculated total energy: -172.2 eV for the cell shown
Crystal system: monoclinic

Unit cell a=21.688 b=4.801 c=6.726 alpha=90.00 beta=152.93 gamma=90.00
Fractional coordinates of all 20 atoms:
1 C 0.490 0.250 0.366
2 Ru 0.387 0.431 0.319
3 Y 0.341 0.487 0.667
4 Ru 0.557 0.035 0.319
5 Y 0.841 0.013 0.167
6 Ru 0.356 0.946 0.033
7 Ru 0.113 0.931 0.181
8 Ru 0.057 0.465 0.819
9 Ru 0.144 0.446 0.467
10 Y 0.159 0.987 0.833
11 C 0.990 0.250 0.866
12 C 0.010 0.750 0.134
13 Y 0.659 0.513 0.333
14 Ru 0.856 0.554 0.533
15 Ru 0.443 0.965 0.681
16 Ru 0.613 0.569 0.681
17 Ru 0.644 0.054 0.967
18 Ru 0.887 0.069 0.819
19 Ru 0.943 0.535 0.181
20 C 0.510 0.750 0.634

---

Q: Which value of magnetization does entry 1 give?
A: 0.0 μB/cell

---

Q: What is the calculated total energy in the twelfth record?
A: -172.2 eV for the cell shown

---

Q: Which value of magnetization does entry 8 give?
A: 0.0 μB/cell